w:
Material: Y2Er8Th3
Method: DFT, PBE
State: optimized geometry

Properties
Fermi-level density of states = 20.6 states/eV/cell
total magnetization = 0.000 μB per formula unit

Structure (extended XYZ):
```
13
Lattice="5.4106 -0.1270 -1.3570 -0.5914 5.9173 -2.9183 0.2221 1.5409 12.1733" Properties=species:S:1:pos:R:3 pbc="T T T"
Y 3.6807 4.4743 2.7598
Y 1.3606 2.8569 5.1381
Er 2.2222 3.8448 8.4712
Er 2.8191 3.4863 -0.5733
Er 1.3560 6.3425 4.7958
Er 3.6853 0.9887 3.1021
Er 0.5195 5.2627 1.5444
Er 0.5638 1.8586 2.0434
Er 4.4776 5.4726 5.8545
Er 4.5218 2.0685 6.3536
Th 2.7053 -0.0635 -0.6785
Th 5.4036 2.8576 9.7687
Th -0.3622 4.4736 -1.8708
```

x:
Material: Y2Er8Th3
Method: DFT, PBE
State: optimized geometry

Properties
Fermi-level density of states = 20.2 states/eV/cell
total magnetization = 0.001 μB per formula unit

Structure (extended XYZ):
```
13
Lattice="6.6849 0.0000 0.1394 0.0000 9.2093 0.0000 -2.4684 -4.6046 7.0868" Properties=species:S:1:pos:R:3 pbc="T T T"
Y 1.7570 0.0000 2.8697
Y 2.4595 4.6046 4.3566
Er 1.0201 4.6046 1.2523
Er 3.1964 0.0000 5.9739
Er 5.1517 0.0000 3.0045
Er -0.9351 4.6046 4.2218
Er 0.1843 1.6365 5.5281
Er 0.1843 -1.6365 5.5281
Er 4.0322 6.2411 1.6982
Er 4.0322 2.9681 1.6982
Th 3.3425 0.0000 0.0697
Th 0.0000 1.5454 0.0000
Th 0.0000 7.6639 0.0000
```

Which of them is least stable? Easy: x.

w:
Material: YErTh2
Method: DFT, PBE
State: optimized geometry

Properties
Fermi-level density of states = 10.8 states/eV/cell
total magnetization = 0.000 μB per formula unit

Structure (extended XYZ):
```
8
Lattice="5.0116 0.0000 0.4636 0.0000 7.1115 0.0000 -0.6548 0.0000 7.0819" Properties=species:S:1:pos:R:3 pbc="T T T"
Y -0.6543 1.7779 7.0809
Y 5.0111 5.3336 0.4646
Er 4.6838 1.7779 4.0033
Er -0.3269 5.3336 3.5422
Th 2.3401 3.5557 2.0274
Th 2.0167 3.5558 5.5181
Th 2.0167 7.1113 5.5184
Th 2.3402 0.0002 2.0271
```

x:
Material: YErTh2
Method: DFT, PBE
State: optimized geometry

Properties
Fermi-level density of states = 5.2 states/eV/cell
total magnetization = 0.000 μB per formula unit

Structure (extended XYZ):
```
4
Lattice="5.6500 0.0000 0.0000 2.8250 4.8931 0.0000 2.8250 1.6310 4.6132" Properties=species:S:1:pos:R:3 pbc="T T T"
Y 5.6500 3.2621 2.3066
Th 2.8250 1.6310 1.1533
Th 8.4751 4.8931 3.4599
Er 0.0000 0.0000 0.0000
```

y:
Material: YErTh2
Method: DFT, PBE
State: optimized geometry

Properties
Fermi-level density of states = 15.5 states/eV/cell
total magnetization = 0.000 μB per formula unit

Structure (extended XYZ):
```
8
Lattice="14.1212 2.9770 -0.0975 -14.1212 2.9770 -0.0975 0.0000 0.0767 3.5067" Properties=species:S:1:pos:R:3 pbc="T T T"
Y 7.0606 1.4885 -0.0487
Y -7.0606 1.5269 1.7046
Er -4.2298 3.0345 2.5326
Er 4.2298 2.9962 0.7792
Th -1.4817 1.4831 0.0552
Th 1.4817 4.5476 3.2567
Th -1.4817 4.5092 1.5033
Th 1.4817 1.5215 1.8085
```

z:
Material: YErTh2
Method: DFT, PBE
State: optimized geometry

Properties
Fermi-level density of states = 5.9 states/eV/cell
total magnetization = 0.000 μB per formula unit

Structure (extended XYZ):
```
4
Lattice="3.5687 0.0000 0.0000 1.7843 3.0906 0.0000 1.7843 1.0302 11.4897" Properties=species:S:1:pos:R:3 pbc="T T T"
Y 3.5687 2.0604 5.7448
Th 5.3530 3.0906 8.6463
Th 1.7843 1.0302 2.8434
Er 0.0000 0.0000 0.0000
```

Which of them is least stable? Easy: y.

w:
Material: Y6ErTh2
Method: DFT, PBE
State: optimized geometry

Properties
Fermi-level density of states = 26.7 states/eV/cell
total magnetization = 0.000 μB per formula unit

Structure (extended XYZ):
```
18
Lattice="6.2665 0.1576 2.4618 3.7113 9.7682 -1.0947 -0.4099 -2.5503 10.1841" Properties=species:S:1:pos:R:3 pbc="T T T"
Y 4.2106 1.4792 7.2865
Y 7.1923 2.0948 9.0484
Y 5.3572 5.8963 4.2647
Y 2.3755 5.2806 2.5028
Y 0.0362 -1.3190 6.8381
Y 3.8019 0.8548 10.5881
Y 9.5316 8.6944 4.7131
Y 5.7659 6.5207 0.9630
Y 7.1428 3.3644 2.1713
Y 6.8503 7.9518 7.0746
Y 2.4250 4.0110 9.3799
Y 2.7175 -0.5764 4.4766
Er 5.2291 9.6619 -0.3459
Er 4.3387 -2.2864 11.8971
Th 4.2444 2.6640 4.0570
Th 2.3169 5.0114 5.9165
Th 5.3234 4.7114 7.4942
Th 7.2509 2.3640 5.6347
```

x:
Material: Y6ErTh2
Method: DFT, PBE
State: optimized geometry

Properties
Fermi-level density of states = 19.1 states/eV/cell
total magnetization = 0.480 μB per formula unit

Structure (extended XYZ):
```
9
Lattice="3.5837 0.0000 0.0000 -1.7919 3.1036 0.0000 0.0000 0.0000 26.3165" Properties=species:S:1:pos:R:3 pbc="T T T"
Y 1.7919 1.0345 23.4854
Y 0.0000 2.0691 11.4884
Y 0.0000 2.0691 20.6156
Y 0.0000 2.0691 5.7009
Y 0.0000 2.0691 14.8280
Y 1.7919 1.0345 2.8311
Er 0.0000 2.0691 0.0000
Th 1.7919 1.0345 8.6504
Th 1.7919 1.0345 17.6660
```

Which of them is least stable? Easy: w.

w:
Material: YEr2Th2
Method: DFT, PBE
State: optimized geometry

Properties
Fermi-level density of states = 26.2 states/eV/cell
total magnetization = 0.000 μB per formula unit

Structure (extended XYZ):
```
20
Lattice="5.8894 0.0000 -1.8686 0.0000 7.1009 0.0000 2.3720 0.0000 14.3662" Properties=species:S:1:pos:R:3 pbc="T T T"
Y 5.7253 2.6569 2.7455
Y 2.5360 4.4439 9.7521
Y 2.7806 0.8935 3.6798
Y 5.4807 6.2074 8.8178
Er 5.3735 0.8870 11.9278
Er 2.4288 2.6634 12.8621
Er 5.8326 4.4375 -0.3645
Er 2.8879 6.2138 0.5698
Er 2.7939 4.4264 3.6997
Er 5.7386 6.2249 2.7654
Er 2.5228 0.8760 9.7322
Er 5.4675 2.6744 8.7979
Th 5.8221 0.9115 -0.3728
Th 2.8773 2.6389 0.5615
Th 5.3840 4.4620 11.9360
Th 2.4393 6.1893 12.8703
Th 2.6573 2.6660 6.7295
Th 5.6020 0.8844 5.7952
Th 2.6594 6.2165 6.7024
Th 5.6041 4.4348 5.7681
```

x:
Material: YEr2Th2
Method: DFT, PBE
State: optimized geometry

Properties
Fermi-level density of states = 7.2 states/eV/cell
total magnetization = 0.000 μB per formula unit

Structure (extended XYZ):
```
5
Lattice="5.9286 0.0000 0.0000 0.0000 5.9282 0.0000 -2.9643 -2.9641 4.9311" Properties=species:S:1:pos:R:3 pbc="T T T"
Y 0.0000 0.0000 0.0000
Er 2.9643 0.0000 2.4656
Er 0.0000 2.9642 2.4656
Th 0.0000 0.0001 3.4613
Th 2.9643 2.9641 1.4699
```

Which of them is least stable? Easy: x.